A plane-wave DFT calculation with GGA-PBE was carried out for crystalline PrMgTcN3 at its relaxed geometry.

The symmetry is P2_1/m, No. 11. The value obtained for the spin magnetization is 0.0 μB per formula unit. The volume comes out at 14.988 Å³ per atom. The density of states at the Fermi level comes out at 0.22 states/eV/f.u. The raw total energy is -7.549 eV per atom.

```
data_PrMgTcN3
_chemical_formula_sum 'Pr2 Mg2 Tc2 N6'
_symmetry_space_group_name_H-M 'P 1'
_symmetry_Int_Tables_number 1
_symmetry_space_group_name_Hall 'P 1'
_cell_length_a 3.3884
_cell_length_b 9.0694
_cell_length_c 6.0644
_cell_angle_alpha 105.19
_cell_angle_beta 90.00
_cell_angle_gamma 90.00
loop_
_atom_site_label
_atom_site_fract_x
_atom_site_fract_y
_atom_site_fract_z
_atom_site_occupancy
N1 0.7500 0.7906 0.0778 1
N2 0.2500 0.8505 0.5187 1
N3 0.2500 0.5044 0.7544 1
N4 0.7500 0.1495 0.4813 1
N5 0.7500 0.4956 0.2456 1
N6 0.2500 0.2094 0.9222 1
Tc1 0.2500 0.0883 0.6419 1
Tc2 0.7500 0.9117 0.3581 1
Pr1 0.7500 0.6739 0.6549 1
Pr2 0.2500 0.3261 0.3451 1
Mg1 0.7500 0.3761 0.8738 1
Mg2 0.2500 0.6239 0.1262 1
```

***

A plane-wave DFT calculation with GGA-PBE was carried out for crystalline UFe4 at its relaxed geometry.

The symmetry is Pm-3m, No. 221. The value obtained for the energy of formation from the pure elements is 1.309 eV/atom. The value obtained for the spin magnetization is 6.1 μB per formula unit. The volume comes out at 17.744 Å³ per atom. The density of states at the Fermi level comes out at 5.92 states/eV/f.u.

```
data_UFe4
_chemical_formula_sum 'U1 Fe4'
_symmetry_space_group_name_H-M 'P 1'
_symmetry_Int_Tables_number 1
_symmetry_space_group_name_Hall 'P 1'
_cell_length_a 4.4600
_cell_length_b 4.4600
_cell_length_c 4.4600
_cell_angle_alpha 90.00
_cell_angle_beta 90.00
_cell_angle_gamma 90.00
loop_
_atom_site_label
_atom_site_fract_x
_atom_site_fract_y
_atom_site_fract_z
_atom_site_occupancy
Fe1 0.5000 0.5000 0.0000 1
Fe2 0.5000 0.0000 0.5000 1
Fe3 0.0000 0.0000 0.0000 1
Fe4 0.0000 0.5000 0.5000 1
U1 0.5000 0.5000 0.5000 1
```

***

A plane-wave DFT calculation with GGA-PBE was carried out for crystalline TiCdN2F at its relaxed geometry.

The symmetry is P4/mmm, No. 123. The value obtained for the spin magnetization is 0.0 μB per formula unit. The volume comes out at 12.524 Å³ per atom. The relative energy among the computed polymorphs comes out at 0.000 kcal/mol of atoms. The density of states at the Fermi level comes out at 2.17 states/eV/f.u.

```
data_TiCdN2F
_chemical_formula_sum 'Ti1 Cd1 N2 F1'
_symmetry_space_group_name_H-M 'P 1'
_symmetry_Int_Tables_number 1
_symmetry_space_group_name_Hall 'P 1'
_cell_length_a 3.9890
_cell_length_b 3.9890
_cell_length_c 3.9354
_cell_angle_alpha 90.00
_cell_angle_beta 90.00
_cell_angle_gamma 90.00
loop_
_atom_site_label
_atom_site_fract_x
_atom_site_fract_y
_atom_site_fract_z
_atom_site_occupancy
Ti1 0.0000 0.0000 0.0000 1
F1 0.0000 0.0000 0.5000 1
N1 0.5000 0.0000 0.0000 1
N2 0.0000 0.5000 0.0000 1
Cd1 0.5000 0.5000 0.5000 1
```

***

A plane-wave DFT calculation with GGA-PBE was carried out for crystalline AcCeVN4 at its relaxed geometry.

The symmetry is Cmcm, No. 63. The value obtained for the spin magnetization is 0.0 μB per formula unit. The volume comes out at 14.088 Å³ per atom. The density of states at the Fermi level comes out at 1.16 states/eV/f.u. The raw total energy is -8.664 eV per atom.

```
data_AcCeVN4
_chemical_formula_sum 'Ac2 Ce2 V2 N8'
_symmetry_space_group_name_H-M 'P 1'
_symmetry_Int_Tables_number 1
_symmetry_space_group_name_Hall 'P 1'
_cell_length_a 5.4313
_cell_length_b 5.5248
_cell_length_c 7.1117
_cell_angle_alpha 90.00
_cell_angle_beta 112.45
_cell_angle_gamma 90.00
loop_
_atom_site_label
_atom_site_fract_x
_atom_site_fract_y
_atom_site_fract_z
_atom_site_occupancy
N1 0.4066 0.7500 0.8133 1
N2 0.5000 0.0000 0.5000 1
N3 0.9445 0.2500 0.8890 1
N4 0.0000 0.5000 0.5000 1
N5 0.0555 0.7500 0.1110 1
N6 0.5000 0.5000 0.5000 1
N7 0.5934 0.2500 0.1867 1
N8 0.0000 0.0000 0.5000 1
V1 0.2702 0.7500 0.5403 1
V2 0.7298 0.2500 0.4597 1
Ac1 0.3913 0.2500 0.7826 1
Ac2 0.6087 0.7500 0.2174 1
Ce1 0.1064 0.2500 0.2128 1
Ce2 0.8936 0.7500 0.7872 1
```

***

A plane-wave DFT calculation with GGA-PBE was carried out for crystalline TbCu8Ni4 at its relaxed geometry.

The symmetry is I4/mmm, No. 139. The value obtained for the energy of formation from the pure elements is -0.117 eV/atom. The value obtained for the spin magnetization is 0.0 μB per formula unit. The volume comes out at 12.919 Å³ per atom. The density of states at the Fermi level comes out at 7.92 states/eV/f.u.

```
data_TbCu8Ni4
_chemical_formula_sum 'Tb1 Cu8 Ni4'
_symmetry_space_group_name_H-M 'P 1'
_symmetry_Int_Tables_number 1
_symmetry_space_group_name_Hall 'P 1'
_cell_length_a 4.8402
_cell_length_b 6.3683
_cell_length_c 6.3683
_cell_angle_alpha 81.70
_cell_angle_beta 67.66
_cell_angle_gamma 67.66
loop_
_atom_site_label
_atom_site_fract_x
_atom_site_fract_y
_atom_site_fract_z
_atom_site_occupancy
Tb1 0.0000 0.0000 0.0000 1
Cu1 0.6493 0.3507 0.3507 1
Cu2 0.5000 0.7772 0.2228 1
Cu3 0.2772 0.2228 0.2228 1
Cu4 0.5000 0.2228 0.7772 1
Cu5 0.0000 0.3507 0.6493 1
Cu6 0.3507 0.6493 0.6493 1
Cu7 0.0000 0.6493 0.3507 1
Cu8 0.7228 0.7772 0.7772 1
Ni1 0.5000 0.0000 0.5000 1
Ni2 0.0000 0.0000 0.5000 1
Ni3 0.5000 0.5000 0.0000 1
Ni4 0.0000 0.5000 0.0000 1
```

***

A plane-wave DFT calculation with GGA-PBE was carried out for crystalline La8Ge3RuI4 at its relaxed geometry.

The symmetry is C2/m, No. 12. The value obtained for the spin magnetization is 0.0 μB per formula unit. The volume comes out at 33.364 Å³ per atom. The density of states at the Fermi level comes out at 13.20 states/eV/f.u. The raw total energy is -5.302 eV per atom.

```
data_La8Ge3RuI4
_chemical_formula_sum 'La8 Ge3 Ru1 I4'
_symmetry_space_group_name_H-M 'P 1'
_symmetry_Int_Tables_number 1
_symmetry_space_group_name_Hall 'P 1'
_cell_length_a 8.8333
_cell_length_b 9.3784
_cell_length_c 8.8885
_cell_angle_alpha 118.49
_cell_angle_beta 119.79
_cell_angle_gamma 90.00
loop_
_atom_site_label
_atom_site_fract_x
_atom_site_fract_y
_atom_site_fract_z
_atom_site_occupancy
Ge1 0.5000 0.5000 0.0000 1
Ge2 0.5000 0.5000 0.5000 1
Ge3 0.0000 0.5000 0.5000 1
La1 0.2492 0.3081 0.0285 1
La2 0.2296 0.6999 0.4591 1
La3 0.2206 0.6919 0.9715 1
La4 0.7508 0.6919 0.9715 1
La5 0.2645 0.2932 0.5290 1
La6 0.7794 0.3081 0.0285 1
La7 0.7704 0.3001 0.5409 1
La8 0.7355 0.7068 0.4710 1
I1 0.5000 0.0000 0.5000 1
I2 0.0000 0.0000 0.5000 1
I3 0.5000 0.0000 0.0000 1
I4 0.0000 0.0000 0.0000 1
Ru1 0.0000 0.5000 0.0000 1
```

***

A plane-wave DFT calculation with GGA-PBE was carried out for crystalline DyHgRh2 at its relaxed geometry.

The symmetry is P4/mmm, No. 123. The value obtained for the energy of formation from the pure elements is -0.555 eV/atom. The value obtained for the spin magnetization is 0.0 μB per formula unit. The volume comes out at 18.117 Å³ per atom. The density of states at the Fermi level comes out at 2.90 states/eV/f.u.

```
data_DyHgRh2
_chemical_formula_sum 'Dy1 Hg1 Rh2'
_symmetry_space_group_name_H-M 'P 1'
_symmetry_Int_Tables_number 1
_symmetry_space_group_name_Hall 'P 1'
_cell_length_a 3.7754
_cell_length_b 4.3812
_cell_length_c 4.3812
_cell_angle_alpha 90.00
_cell_angle_beta 90.00
_cell_angle_gamma 90.00
loop_
_atom_site_label
_atom_site_fract_x
_atom_site_fract_y
_atom_site_fract_z
_atom_site_occupancy
Rh1 0.0000 0.0000 0.5000 1
Rh2 0.0000 0.5000 0.0000 1
Dy1 0.5000 0.5000 0.5000 1
Hg1 0.5000 0.0000 0.0000 1
```

***

A plane-wave DFT calculation with GGA-PBE was carried out for crystalline TbPmCBr at its relaxed geometry.

The symmetry is R3m, No. 160. The value obtained for the spin magnetization is 0.0 μB per formula unit. The volume comes out at 22.017 Å³ per atom. The density of states at the Fermi level comes out at 2.05 states/eV/f.u. The raw total energy is -5.996 eV per atom.

```
data_TbPmCBr
_chemical_formula_sum 'Tb1 Pm1 C1 Br1'
_symmetry_space_group_name_H-M 'P 1'
_symmetry_Int_Tables_number 1
_symmetry_space_group_name_Hall 'P 1'
_cell_length_a 3.7320
_cell_length_b 3.7321
_cell_length_c 7.6123
_cell_angle_alpha 90.00
_cell_angle_beta 104.19
_cell_angle_gamma 120.00
loop_
_atom_site_label
_atom_site_fract_x
_atom_site_fract_y
_atom_site_fract_z
_atom_site_occupancy
C1 0.3109 0.5533 0.8796 1
Pm1 0.5148 0.1553 0.6855 1
Tb1 0.0902 0.9430 0.0485 1
Br1 0.9620 0.3791 0.3561 1
```

***

A plane-wave DFT calculation with GGA-PBE was carried out for crystalline CeSnPb2 at its relaxed geometry.

The symmetry is P4/mmm, No. 123. The value obtained for the energy of formation from the pure elements is -0.403 eV/atom. The value obtained for the spin magnetization is 0.8 μB per formula unit. The volume comes out at 28.402 Å³ per atom. The relative energy among the computed polymorphs comes out at 0.000 kcal/mol of atoms. The density of states at the Fermi level comes out at 5.61 states/eV/f.u.

```
data_CeSnPb2
_chemical_formula_sum 'Ce1 Sn1 Pb2'
_symmetry_space_group_name_H-M 'P 1'
_symmetry_Int_Tables_number 1
_symmetry_space_group_name_Hall 'P 1'
_cell_length_a 4.8650
_cell_length_b 4.8324
_cell_length_c 4.8324
_cell_angle_alpha 90.00
_cell_angle_beta 90.00
_cell_angle_gamma 90.00
loop_
_atom_site_label
_atom_site_fract_x
_atom_site_fract_y
_atom_site_fract_z
_atom_site_occupancy
Ce1 0.5000 0.5000 0.5000 1
Pb1 0.0000 0.5000 0.0000 1
Pb2 0.0000 0.0000 0.5000 1
Sn1 0.5000 0.0000 0.0000 1
```

***

A plane-wave DFT calculation with GGA-PBE was carried out for crystalline CaPdW at its relaxed geometry.

The symmetry is Pm, No. 6. The value obtained for the energy of formation from the pure elements is 0.252 eV/atom. The value obtained for the spin magnetization is 0.0 μB per formula unit. The volume comes out at 21.636 Å³ per atom. The relative energy among the computed polymorphs comes out at 6.175 kcal/mol of atoms. The density of states at the Fermi level comes out at 1.93 states/eV/f.u.

```
data_CaPdW
_chemical_formula_sum 'Ca2 Pd2 W2'
_symmetry_space_group_name_H-M 'P 1'
_symmetry_Int_Tables_number 1
_symmetry_space_group_name_Hall 'P 1'
_cell_length_a 3.2296
_cell_length_b 8.4509
_cell_length_c 4.7568
_cell_angle_alpha 90.00
_cell_angle_beta 90.00
_cell_angle_gamma 90.88
loop_
_atom_site_label
_atom_site_fract_x
_atom_site_fract_y
_atom_site_fract_z
_atom_site_occupancy
W1 0.9506 0.9005 0.6923 1
W2 0.4407 0.6853 0.6924 1
Pd1 0.4392 0.8823 0.1924 1
Pd2 0.4341 0.3715 0.6926 1
Ca1 0.9326 0.1770 0.1924 1
Ca2 0.9348 0.5635 0.1924 1
```

***

A plane-wave DFT calculation with GGA-PBE was carried out for crystalline Mg4Sc5Al at its relaxed geometry.

The symmetry is P4/mmm, No. 123. The value obtained for the energy of formation from the pure elements is -0.128 eV/atom. The value obtained for the spin magnetization is 0.0 μB per formula unit. The volume comes out at 22.368 Å³ per atom. The density of states at the Fermi level comes out at 10.64 states/eV/f.u.

```
data_Mg4Sc5Al
_chemical_formula_sum 'Mg4 Sc5 Al1'
_symmetry_space_group_name_H-M 'P 1'
_symmetry_Int_Tables_number 1
_symmetry_space_group_name_Hall 'P 1'
_cell_length_a 3.5315
_cell_length_b 3.5315
_cell_length_c 17.9348
_cell_angle_alpha 90.00
_cell_angle_beta 90.00
_cell_angle_gamma 90.00
loop_
_atom_site_label
_atom_site_fract_x
_atom_site_fract_y
_atom_site_fract_z
_atom_site_occupancy
Sc1 0.5000 0.5000 0.5000 1
Sc2 0.5000 0.5000 0.2944 1
Sc3 0.5000 0.5000 0.7056 1
Sc4 0.5000 0.5000 0.9093 1
Sc5 0.5000 0.5000 0.0907 1
Mg1 0.0000 0.0000 0.1931 1
Mg2 0.0000 0.0000 0.3969 1
Mg3 0.0000 0.0000 0.6031 1
Mg4 0.0000 0.0000 0.8069 1
Al1 0.0000 0.0000 0.0000 1
```

***

A plane-wave DFT calculation with GGA-PBE was carried out for crystalline ZrPa6Sn10 at its relaxed geometry.

The symmetry is P-31m, No. 162. The value obtained for the energy of formation from the pure elements is -0.252 eV/atom. The value obtained for the spin magnetization is 0.0 μB per formula unit. The volume comes out at 26.263 Å³ per atom. The density of states at the Fermi level comes out at 18.97 states/eV/f.u.

```
data_ZrPa6Sn10
_chemical_formula_sum 'Zr1 Pa6 Sn10'
_symmetry_space_group_name_H-M 'P 1'
_symmetry_Int_Tables_number 1
_symmetry_space_group_name_Hall 'P 1'
_cell_length_a 6.1083
_cell_length_b 9.1870
_cell_length_c 9.1870
_cell_angle_alpha 120.00
_cell_angle_beta 90.00
_cell_angle_gamma 90.00
loop_
_atom_site_label
_atom_site_fract_x
_atom_site_fract_y
_atom_site_fract_z
_atom_site_occupancy
Sn1 0.5000 0.6667 0.3333 1
Sn2 0.0000 0.6667 0.3333 1
Sn3 0.5000 0.3333 0.6667 1
Sn4 0.7742 0.2596 0.0000 1
Sn5 0.2258 0.2596 0.2596 1
Sn6 0.2258 0.7404 0.0000 1
Sn7 0.7742 0.7404 0.7404 1
Sn8 0.2258 0.0000 0.7404 1
Sn9 0.7742 0.0000 0.2596 1
Sn10 0.0000 0.3333 0.6667 1
Pa1 0.2566 0.6126 0.6126 1
Pa2 0.7434 0.3874 0.3874 1
Pa3 0.7434 0.6126 0.0000 1
Pa4 0.7434 0.0000 0.6126 1
Pa5 0.2566 0.0000 0.3874 1
Pa6 0.2566 0.3874 0.0000 1
Zr1 0.5000 0.0000 0.0000 1
```

***

What is the spin magnetization in the tenth record? 0.0 μB per formula unit